1.
Compound: NaZrTe2F
Source: the Alexandria database
Functional: PBE-GGA
Structure: relaxed

Summary:
formation energy (no corrections) = -1471.7 meV per atom
size of the total moment = 0.00 μB per cell

Cell: 5.7169 5.7169 4.2423 Å, 90.00 90.00 90.00°
Closest atoms and distances in Å follow each position.
Space group P4/mmm (No. 123)
One atom of each set of equivalent atoms:
Na (0.0000, 0.0000, 0.0000) (multiplicity 1)  8 Te 3.56
Zr (0.5000, 0.5000, 0.5000) (multiplicity 1)  2 F 2.12
Te (0.0000, 0.5000, 0.5000) (multiplicity 2)  2 Zr 2.86
F (0.5000, 0.5000, 0.0000) (multiplicity 1)  2 Zr 2.12

=====

2.
Compound: Sr2BiMo
Source: the Alexandria database
Functional: PBE-GGA
Structure: relaxed

Summary:
size of the total moment = 7.97 μB per cell
ΔE_f = 2.181 eV per formula unit

Cell: 11.4169 11.4169 5.3852 Å, 90.00 90.00 90.00°
Closest atoms and distances in Å follow each position.
Space group I-42d (No. 122)
One atom of each set of equivalent atoms:
Sr (0.0827, 0.2500, 0.1250) (multiplicity 8)  2 Mo 3.08
Bi (0.0000, 0.0000, 0.5000) (multiplicity 4)  2 Mo 2.69
Mo (0.0000, 0.0000, 0.0000) (multiplicity 4)  2 Bi 2.69

=====

3.
Compound: Al2Sb
Source: the Alexandria database
Functional: PBE-GGA
Structure: relaxed

Summary:
formation energy (no corrections) = 160.7 meV per atom
size of the total moment = 0.00 μB per cell

Cell: 4.1000 4.1000 4.7451 Å, 90.00 90.00 120.00°
Closest atoms and distances in Å follow each position.
Space group P-3m1 (No. 164)
One atom of each set of equivalent atoms:
Al (0.3333, 0.6667, 0.3370) (multiplicity 2)  3 Al 2.83, 3 Sb 2.86
Sb (0.0000, 0.0000, 0.0000) (multiplicity 1)  6 Al 2.86

=====

4.
Compound: NpTlI4
Source: the Alexandria database
Functional: PBE-GGA
Structure: relaxed

Summary:
formation energy (no corrections) = -757.6 meV per atom
energy above the most stable polymorph in this dataset = 20 kJ/mol of formula units
size of the total moment = 16.00 μB per cell

Cell: 10.2916 15.2347 7.3702 Å, 90.00 121.01 90.00°
Closest atoms and distances in Å follow each position.
Space group C2/c (No. 15)
One atom of each set of equivalent atoms:
Np (0.0000, 0.0007, 0.2500) (multiplicity 4)  8 I 3.23-3.25
Tl (0.0000, 0.3653, 0.2500) (multiplicity 4)  8 I 3.59-3.67
I (0.0998, 0.1654, 0.5721) (multiplicity 8)  2 Np 3.24-3.25
I (0.2148, 0.4421, 0.7938) (multiplicity 8)  2 Np 3.23-3.25, 1 Tl 3.59